Record 1
Material: Ta2AlCd
Method: DFT, GGA-PBEsol
State: optimized geometry

## Properties
Formation energy, kJ/mol of atoms: 14.0
Energy above the most stable polymorph in this dataset, meV per atom: 81.0
Uncorrected energy, eV/atom: -7.45

abc: 2.879 5.078 5.135
angles: 100.00 90.00 106.47
Fractional coordinates of all 4 atoms:
Cd 0.749 0.498 0.268
Al 0.506 0.011 0.490
Ta 0.993 0.985 0.971
Ta 0.252 0.505 0.771

Record 2
Material: Li2VCrO4
Method: DFT, GGA-PBEsol
State: optimized geometry

## Properties
Formation energy without anion corrections, eV/f.u.: -17.0
Energy above the most stable polymorph in this dataset, meV per atom: 6.3
Uncorrected energy, eV/atom: -7.73

abc: 2.871 5.105 5.061
angles: 109.93 90.00 90.00
Fractional coordinates of all 8 atoms:
O 0.000 0.243 0.726
O 0.500 0.749 0.729
O 0.500 0.251 0.271
Li 0.000 0.000 0.000
O 0.000 0.757 0.274
Li 0.500 0.500 0.000
Cr 0.500 0.000 0.500
V 0.000 0.500 0.500

Record 3
Material: KTl3Ge
Method: DFT, GGA-PBEsol
State: optimized geometry

## Properties
Formation energy, kJ/mol of atoms: 95.9
Uncorrected energy, eV/atom: -1.80

abc: 5.794 5.794 5.794
angles: 90.00 90.00 90.00
Fractional coordinates of all 5 atoms:
Tl 0.000 0.500 0.000
Ge 0.500 0.500 0.500
K 0.000 0.000 0.000
Tl 0.000 0.000 0.500
Tl 0.500 0.000 0.000

Record 4
Material: AgTe2
Method: DFT, GGA-PBEsol
State: optimized geometry

## Properties
Formation energy without anion corrections, eV/f.u.: 0.6
Uncorrected energy, eV/atom: -3.24

abc: 3.024 5.260 5.260
angles: 90.00 90.00 90.00
Fractional coordinates of all 3 atoms:
Te 0.500 0.000 0.500
Ag 0.000 0.000 0.000
Te 0.500 0.500 0.000

Number 1: size of the total moment 0.000 μB/atom. Number 2: size of the total moment 0.624 μB/atom. Number 3: size of the total moment 0.000 μB/atom. Number 4: size of the total moment 0.000 μB/atom.